<A>
SmYI (PBE, relaxed); size of the total moment = 0.000 μB/atom; density = 6.310 g/cm3; space-group type = P2_1/c
1.0
8.7327 0.0000 0.0000
0.0000 6.2125 0.0000
-0.9890 0.0000 7.1046
Sm Y I
4 4 4
Direct
0.2171 0.1720 0.4939 Sm
0.2171 0.3280 0.9939 Sm
0.7829 0.6720 0.0061 Sm
0.7829 0.8280 0.5061 Sm
0.4316 0.6724 0.6851 Y
0.4316 0.8276 0.1851 Y
0.5684 0.1724 0.8149 Y
0.5684 0.3276 0.3149 Y
0.1209 0.6638 0.3446 I
0.1209 0.8362 0.8446 I
0.8791 0.1638 0.1554 I
0.8791 0.3362 0.6554 I


<B>
SmYI (PBE, relaxed); size of the total moment = 0.095 μB/atom; density = 6.125 g/cm3; space-group type = P3m1
1.0
3.8728 0.0000 0.0000
-1.9364 3.3539 0.0000
0.0000 0.0000 7.6433
Sm Y I
1 1 1
Direct
0.0000 0.0000 0.0000 Sm
0.6667 0.3333 0.3517 Y
0.3333 0.6667 0.6690 I


Which is most stable, and by how much? <B>, by 0.077 eV/atom.


<A>
Sm2ZnI (PBE, relaxed); size of the total moment = 0.066 μB/atom; density = 7.373 g/cm3; space-group type = P4/mmm
1.0
3.6604 0.0000 0.0000
0.0000 3.6604 0.0000
0.0000 0.0000 8.2876
Sm Zn I
2 1 1
Direct
0.0000 0.0000 0.2164 Sm
0.0000 0.0000 0.7836 Sm
0.5000 0.5000 0.0000 Zn
0.5000 0.5000 0.5000 I


<B>
Sm2ZnI (PBE, relaxed); size of the total moment = 0.000 μB/atom; density = 6.990 g/cm3; space-group type = R3m
1.0
2.0055 1.1578 8.4067
-2.0055 1.1578 8.4067
0.0000 -2.3157 8.4067
Sm Zn I
2 1 1
Direct
0.0000 0.0000 0.0000 Sm
0.1852 0.1852 0.1852 Sm
0.5932 0.5932 0.5932 Zn
0.4253 0.4253 0.4253 I


<C>
Sm2ZnI (PBE, relaxed); size of the total moment = 0.000 μB/atom; density = 6.881 g/cm3; space-group type = R-3m
1.0
2.0788 1.2002 7.9483
-2.0788 1.2002 7.9483
0.0000 -2.4004 7.9483
Sm Zn I
2 1 1
Direct
0.2387 0.2387 0.2387 Sm
0.7613 0.7613 0.7613 Sm
0.5000 0.5000 0.5000 Zn
0.0000 0.0000 0.0000 I


Which is most stable, and by how much? <B>, by 0.005 eV/atom.